CeSmGe: optimized geometry, PBE.

abc: 4.1027 4.7572 4.7572
angles: 120.00 90.00 90.00
Last column: nearest neighbours and their distance in Å.
Atoms (fractional coordinates):
Ge 0.3566 0.3333 0.6667  3 Sm 2.93, 3 Ce 3.04
Ce 0.0377 0.0000 0.0000  3 Ge 3.04, 3 Sm 3.27
Sm 0.6057 0.6667 0.3333  3 Ge 2.93, 3 Ce 3.27

Calculated values
The space group is P3m1 (156). The formation energy comes out at -0.308 eV per atom.